# 1
TaPb3 (GGA-PBEsol, relaxed); symmetry = P2/m; calculated formation energy = 0.557 eV per atom
1.0
3.214 0.000 0.000
0.000 5.206 0.000
-1.457 0.000 5.943
Ta Pb
1 3
Cartesian
0.000 0.000 0.000 Ta
-0.729 0.000 2.971 Pb
0.896 2.603 1.387 Pb
0.860 2.603 4.556 Pb

=====

# 2
LaCrCl2 (GGA-PBEsol, relaxed); symmetry = Fm-3m; E above lowest polymorph = 0 meV/atom; formation energy (no corrections) = -0.67 eV per atom
1.0
0.000 3.477 3.477
3.477 0.000 3.477
3.477 3.477 0.000
La Cr Cl
1 1 2
Cartesian
0.000 0.000 0.000 La
3.477 3.477 3.477 Cr
1.739 1.739 1.739 Cl
5.216 5.216 5.216 Cl

=====

# 3
ZnCo2Tc (GGA-PBEsol, relaxed); symmetry = P4/mmm; calculated formation energy = -0.066 eV per atom
1.0
2.616 0.000 0.000
0.000 2.616 0.000
0.000 0.000 6.768
Zn Co Tc
1 2 1
Cartesian
0.000 0.000 0.000 Zn
1.308 1.308 1.695 Co
1.308 1.308 5.073 Co
0.000 0.000 3.384 Tc

=====

# 4
Co2SiPb (GGA-PBEsol, relaxed); symmetry = Imm2; E above lowest polymorph = 0 meV/atom; formation energy (no corrections) = 0.02 eV per atom
1.0
-1.436 1.691 6.040
1.436 -1.691 6.040
1.436 1.691 -6.040
Co Si Pb
2 1 1
Cartesian
0.000 0.000 0.000 Co
0.000 1.691 3.912 Co
0.000 0.000 5.392 Si
1.436 0.000 2.320 Pb

=====

Here are the calculated Fermi-level density of states numbers, same order: 2.95; 1.71; 2.82; 3.73 (states/eV/cell).
Here are the calculated magnetization numbers, same order: 0.000; 1.250; 0.000; 0.146 (μB per atom).
Here are the calculated VASP energy numbers, same order: -22.32; -22.30; -28.59; -25.13 (eV/cell).